Compound: Cu2AsRhS
Source: the Alexandria database
Functional: PBE-GGA
Structure: relaxed

**E_form (uncorrected)**: 0.720 eV/atom

a = 4.8067 Å, b = 4.8067 Å, c = 4.2177 Å
α = 90.00°, β = 90.00°, γ = 90.00°
With the nearest neighbours (Å) after each atom.
Positions (direct):
As (0.5000, 0.5000, 0.5000)  8 Cu 3.20, 4 S 3.40
Rh (0.0000, 0.0000, 0.0000)  2 S 2.11
S (0.0000, 0.0000, 0.5000)  2 Rh 2.11
Cu (0.0000, 0.5000, 0.0000)  2 Rh 2.40
Cu (0.5000, 0.0000, 0.0000)  2 Rh 2.40